No. 1
DFT (PBEsol) results for crystalline ZrCrP at its relaxed geometry.

Unit cell a=4.1285 b=4.1285 c=4.1285 alpha=60.00 beta=60.00 gamma=60.00
Positions (direct):
1 Zr 0.0000 0.0000 0.0000
2 Cr 0.7500 0.7500 0.7500
3 P 0.5000 0.5000 0.5000

DFT total energy   -25.3 eV/f.u.
ΔH_f (0 K)   -49 meV/atom
SG   No. 216

***

No. 2
DFT (PBEsol) results for crystalline ZrCr2P at its relaxed geometry.

Unit cell a=3.2247 b=4.2122 c=4.2454 alpha=90.00 beta=92.75 gamma=90.00
Positions (direct):
1 Zr 0.0000 0.0000 0.0000
2 Cr 0.3602 0.5000 0.7386
3 Cr 0.6398 0.5000 0.2614
4 P 0.5000 0.0000 0.5000

DFT total energy   -35.8 eV/f.u.
ΔH_f (0 K)   -120 meV/atom
SG   No. 10